{
  "formula": "ZnTeP",
  "functional": "PBE-GGA",
  "state": "optimized geometry",
  "relative_energy_ev_per_atom": 0.079,
  "raw_formation_energy_ev_per_atom": -0.05,
  "magmom_total_mub_per_cell": 0.0,
  "cell": [[4.7838, 0.0000, 0.0000], [2.1737, 4.2708, 0.0000], [1.6849, 0.7760, 7.6930]],
  "species": ["Zn", "Zn", "Te", "Te", "P", "P"],
  "frac_coords": [[0.0000, 0.0000, 0.0000], [0.4438, 0.4004, 0.3391], [0.6090, 0.5911, 0.8629], [0.9733, 0.9457, 0.4788], [0.2327, 0.1555, 0.1973], [0.6887, 0.7255, 0.1422]]
}